No. 1
Hg2OsRu2 | GGA-PBE | relaxed

extended XYZ file:
```
10
Lattice="-3.1396 4.3384 3.4700 -2.6730 -4.6738 3.4250 3.4391 0.1635 2.9072" Properties=species:S:1:pos:R:3 pbc="T T T"
Ru -3.4653 -2.4598 4.2377
Ru -4.4137 0.7959 5.1765
Ru -2.3473 2.1243 2.6573
Ru -1.3989 -1.1314 1.7185
Os 0.0000 0.0000 0.0000
Os -2.9063 -0.1677 3.4475
Hg -0.6467 -2.3146 4.3876
Hg -2.6059 -0.8262 6.6215
Hg -1.7268 2.1426 5.4145
Hg 0.2324 0.6543 3.1806
```

Results
space-group type = P4/mbm
DOS(E_F) = 4.397 states/eV/f.u.
excess energy over the best structure of this formula in the dataset = 0.0 meV per atom
formation energy = 3.89 eV per formula unit
magnetization = 0.000 μB/atom
calculated volume = 18.35 A^3/atom



No. 2
TmSbO2 | GGA-PBE | relaxed

extended XYZ file:
```
4
Lattice="3.7172 0.0000 0.0000 1.8586 3.2192 0.0000 1.8586 1.0731 6.4078" Properties=species:S:1:pos:R:3 pbc="T T T"
Sb 3.7172 2.1461 3.2039
Tm 0.0000 0.0000 0.0000
O 1.8586 1.0731 4.2715
O 5.5758 3.2192 2.1363
```

Results
space-group type = R-3m
DOS(E_F) = 1.122 states/eV/f.u.
magnetization = 0.000 μB/atom
calculated volume = 19.17 A^3/atom
VASP energy = -23.94 eV for the cell shown



No. 3
YRe2Ru2 | GGA-PBE | relaxed

extended XYZ file:
```
5
Lattice="4.2435 0.0000 0.0000 0.0000 4.2435 0.0000 2.1217 2.1217 5.1957" Properties=species:S:1:pos:R:3 pbc="T T T"
Y 0.0000 0.0000 0.0000
Re 2.1217 2.1217 1.2280
Re 4.2435 4.2435 3.9677
Ru 4.2435 2.1217 2.5978
Ru 2.1217 4.2435 2.5978
```

Results
space-group type = I4/mmm
DOS(E_F) = 5.408 states/eV/f.u.
excess energy over the best structure of this formula in the dataset = 0.0 meV per atom
formation energy = 0.18 eV per formula unit
magnetization = 0.000 μB/atom
calculated volume = 18.71 A^3/atom



No. 4
LiTbInAg | GGA-PBE | relaxed

extended XYZ file:
```
4
Lattice="4.8902 0.0000 0.0000 2.4451 4.2350 0.0000 2.4451 1.4117 3.9928" Properties=species:S:1:pos:R:3 pbc="T T T"
Li 4.8902 2.8233 1.9964
Tb 7.3352 4.2350 2.9946
Ag 0.0000 0.0000 0.0000
In 2.4451 1.4117 0.9982
```

Results
space-group type = F-43m
DOS(E_F) = 0.926 states/eV/f.u.
formation energy = -1.55 eV per formula unit
magnetization = 0.000 μB/atom
calculated volume = 20.67 A^3/atom



No. 5
Ce2CuSn4Pd3 | GGA-PBE | relaxed

extended XYZ file:
```
10
Lattice="-4.0262 -1.5993 -1.4289 0.3736 -3.5160 2.8823 -4.9972 5.7427 7.6529" Properties=species:S:1:pos:R:3 pbc="T T T"
Ce -3.3259 0.7091 1.2961
Ce -3.4975 2.4760 7.0835
Cu -4.3248 0.3137 4.5532
Sn -1.8263 -2.5576 0.7267
Sn 0.0000 0.0000 0.0000
Sn -5.1438 2.7982 4.0801
Sn -1.6796 0.3869 4.2995
Pd -2.4986 2.8713 3.8264
Pd -6.3478 4.1818 5.9240
Pd -0.4756 -0.9967 2.4556
```

Results
space-group type = P-4m2
DOS(E_F) = 15.296 states/eV/f.u.
formation energy = -6.26 eV per formula unit
magnetization = 0.178 μB/atom
calculated volume = 22.46 A^3/atom



No. 6
Pr8Y6Cd | GGA-PBE | relaxed

extended XYZ file:
```
15
Lattice="-3.2327 -0.7464 -5.6803 8.0243 1.5862 -4.7751 -2.3567 -8.8260 2.5009" Properties=species:S:1:pos:R:3 pbc="T T T"
Pr -2.9518 -2.9530 -4.1806
Pr 1.3687 -6.2534 -6.2058
Pr -3.0606 -8.6959 -3.3641
Pr 5.3866 -5.0331 -3.7739
Pr 1.0662 -1.7327 -1.7487
Pr 5.4955 0.7098 -4.5904
Pr -1.6456 -5.9900 -4.7552
Pr 4.0805 -1.9961 -3.1993
Y 2.8335 -0.3279 -6.6417
Y 3.7864 -3.9407 -6.7094
Y 0.6149 -2.8757 -5.0444
Y -0.3986 -7.6582 -1.3127
Y -1.3515 -4.0454 -1.2451
Y 1.8200 -5.1104 -2.9101
Cd -1.6163 -0.3732 -2.8402
```

Results
space-group type = P-3
DOS(E_F) = 21.978 states/eV/f.u.
formation energy = 1.33 eV per formula unit
magnetization = 0.000 μB/atom
calculated volume = 34.07 A^3/atom



No. 7
Sc3NbGe | GGA-PBE | relaxed

extended XYZ file:
```
5
Lattice="-3.2740 1.3378 -3.5818 2.4714 -2.8576 -3.3263 -2.9174 -3.9221 1.2018" Properties=species:S:1:pos:R:3 pbc="T T T"
Sc 1.2357 -1.4288 -1.6632
Sc -1.4587 -1.9610 0.6009
Sc -1.6370 0.6689 -1.7909
Nb -1.8600 -2.7209 -2.8532
Ge 0.0000 0.0000 0.0000
```

Results
space-group type = Pm-3m
DOS(E_F) = 4.912 states/eV/f.u.
excess energy over the best structure of this formula in the dataset = 0.0 meV per atom
formation energy = 2.15 eV per formula unit
magnetization = 0.705 μB/atom
calculated volume = 25.51 A^3/atom



No. 8
TlBr3F | GGA-PBE | relaxed

extended XYZ file:
```
5
Lattice="4.5898 0.0050 -0.0145 -0.7327 4.5550 0.0087 -1.6019 -2.2850 7.9847" Properties=species:S:1:pos:R:3 pbc="T T T"
Tl 0.0000 0.0000 0.0000
Br 1.4939 -1.1400 3.9851
Br -0.0666 1.9520 5.9220
Br 2.3218 0.3230 2.0569
F -0.3663 2.2775 0.0044
```

Results
space-group type = P-1
DOS(E_F) = 1.890 states/eV/f.u.
excess energy over the best structure of this formula in the dataset = 0.0 meV per atom
magnetization = 0.000 μB/atom
calculated volume = 33.38 A^3/atom



Look up the DOS(E_F) of the fourth one. 0.926 states/eV/f.u.